K4IO: relaxed, GGA-PBE.

Values from the calculation:
VASP energy ... -33.5 eV per cell
DOS at the Fermi energy ... 2.325 states/eV/cell
Formation energy from raw total energies ... -5.8 eV/f.u.

Structure (CIF):
```
data_K4IO
_chemical_formula_sum 'K8 I2 O2'
_symmetry_space_group_name_H-M 'P 1'
_symmetry_Int_Tables_number 1
_cell_length_a 10.3965
_cell_length_b 10.3965
_cell_length_c 7.5177
_cell_angle_alpha 100.28
_cell_angle_beta 100.28
_cell_angle_gamma 44.05
loop_
_symmetry_equiv_pos_as_xyz
'x,y,z'
loop_
_atom_site_label
_atom_site_type_symbol
_atom_site_fract_x
_atom_site_fract_y
_atom_site_fract_z
_atom_site_occupancy
K1 K 0.1248 0.6607 0.5442 1
K2 K 0.2027 0.2027 0.1386 1
K3 K 0.2061 0.7939 0.0000 1
K4 K 0.3393 0.8752 0.4558 1
K5 K 0.6607 0.1248 0.5442 1
K6 K 0.7939 0.2061 0.0000 1
K7 K 0.7973 0.7973 0.8614 1
K8 K 0.8752 0.3393 0.4558 1
I1 I 0.2602 0.2602 0.7134 1
I2 I 0.7398 0.7398 0.2866 1
O1 O 0.0840 0.0840 0.2184 1
O2 O 0.9160 0.9160 0.7816 1
```